Er2MnSi3Ir4: relaxed, PBE.

The calculation puts the raw formation energy at -0.90 eV/atom. For the total DFT energy (no corrections), the calculation gives -79.0 eV per cell. Its symmetry is P-4m2. The density is 12.46 Mg/m³.

Lattice parameters (Å, degrees): 4.0811 4.0811 9.9444 90.00 90.00 90.00
Last column: nearest neighbours and their distance in Å.
Fractional positions:
Er  0.0000  0.5000  0.7492  6 Si 3.12-3.21, 8 Ir 3.12-3.22, 2 Mn 3.21
Er  0.5000  0.0000  0.2508  6 Si 3.12-3.21, 8 Ir 3.12-3.22, 2 Mn 3.21
Si  0.0000  0.5000  0.1319  5 Ir 2.36-2.43
Si  0.0000  0.0000  0.5000  4 Ir 2.42
Si  0.5000  0.0000  0.8681  5 Ir 2.36-2.43
Ir  0.0000  0.0000  0.0000  4 Si 2.43
Ir  0.5000  0.5000  0.0000  4 Si 2.43
Ir  0.0000  0.5000  0.3698  3 Si 2.36-2.42, 2 Mn 2.42
Ir  0.5000  0.0000  0.6302  3 Si 2.36-2.42, 2 Mn 2.42
Mn  0.5000  0.5000  0.5000  4 Ir 2.42

---

Er12Ir3N5: relaxed, PBE.

The calculation puts the raw formation energy at -1.06 eV/atom. For the total DFT energy (no corrections), the calculation gives -576.4 eV per cell. Its symmetry is Ia-3d. The density is 10.39 Mg/m³.

Lattice parameters (Å, degrees): 13.0149 13.0149 13.0149 109.47 109.47 109.47
Last column: nearest neighbours and their distance in Å.
Fractional positions:
Ir  0.1250  0.2500  0.8750  8 Er 2.88-3.01
Ir  0.2500  0.6250  0.8750  8 Er 2.88-3.01
Ir  0.6250  0.3750  0.7500  8 Er 2.88-3.01
Ir  0.8750  0.7500  0.1250  8 Er 2.88-3.01
Ir  0.7500  0.8750  0.6250  8 Er 2.88-3.01
Ir  0.8750  0.1250  0.2500  8 Er 2.88-3.01
Ir  0.6250  0.2500  0.3750  8 Er 2.88-3.01
Ir  0.3750  0.6250  0.2500  8 Er 2.88-3.01
Ir  0.2500  0.1250  0.3750  8 Er 2.88-3.01
Ir  0.3750  0.7500  0.6250  8 Er 2.88-3.01
Ir  0.7500  0.3750  0.1250  8 Er 2.88-3.01
Ir  0.1250  0.8750  0.7500  8 Er 2.88-3.01
Er  0.9761  0.5976  0.1816  2 N 2.21-2.46
Er  0.2945  0.4160  0.8184  2 N 2.21-2.46
Er  0.7055  0.1215  0.0239  2 N 2.21-2.46
Er  0.9024  0.0840  0.8785  2 N 2.21-2.46
Er  0.1215  0.7055  0.5239  2 N 2.21-2.46
Er  0.5976  0.9761  0.6816  2 N 2.21-2.46
Er  0.5976  0.6215  0.4160  2 N 2.21-2.46
Er  0.4160  0.2945  0.3184  2 N 2.21-2.46
Er  0.6215  0.5976  0.9160  2 N 2.21-2.46
Er  0.0840  0.9024  0.3785  2 N 2.21-2.46
Er  0.2055  0.6816  0.0840  2 N 2.21-2.46
Er  0.4024  0.3785  0.5840  2 N 2.21-2.46
Er  0.7055  0.5840  0.1816  2 N 2.21-2.46
Er  0.1215  0.4160  0.0976  2 N 2.21-2.46
Er  0.6215  0.0239  0.2055  2 N 2.21-2.46
Er  0.4761  0.7945  0.8785  2 N 2.21-2.46
Er  0.3184  0.7945  0.4160  2 N 2.21-2.46
Er  0.4024  0.0239  0.3184  2 N 2.21-2.46
Er  0.5239  0.2055  0.1215  2 N 2.21-2.46
Er  0.8184  0.9160  0.2945  2 N 2.21-2.46
Er  0.0840  0.1816  0.2055  2 N 2.21-2.46
Er  0.5840  0.8785  0.4024  2 N 2.21-2.46
Er  0.5239  0.3184  0.9024  2 N 2.21-2.46
Er  0.2055  0.5239  0.6215  2 N 2.21-2.46
Er  0.0976  0.1816  0.4761  2 N 2.21-2.46
Er  0.8785  0.5840  0.9024  2 N 2.21-2.46
Er  0.1816  0.0840  0.7055  2 N 2.21-2.46
Er  0.6816  0.4761  0.5976  2 N 2.21-2.46
Er  0.9024  0.8184  0.5239  2 N 2.21-2.46
Er  0.3785  0.9761  0.7945  2 N 2.21-2.46
Er  0.0976  0.9160  0.1215  2 N 2.21-2.46
Er  0.8785  0.2945  0.4761  2 N 2.21-2.46
Er  0.3785  0.4024  0.0840  2 N 2.21-2.46
Er  0.3184  0.5239  0.4024  2 N 2.21-2.46
Er  0.9761  0.3785  0.2945  2 N 2.21-2.46
Er  0.7945  0.3184  0.9160  2 N 2.21-2.46
Er  0.0239  0.4024  0.8184  2 N 2.21-2.46
Er  0.4160  0.1215  0.5976  2 N 2.21-2.46
Er  0.0239  0.6215  0.7055  2 N 2.21-2.46
Er  0.9160  0.8184  0.7945  2 N 2.21-2.46
Er  0.1816  0.0976  0.9761  2 N 2.21-2.46
Er  0.4761  0.6816  0.0976  2 N 2.21-2.46
Er  0.9160  0.0976  0.6215  2 N 2.21-2.46
Er  0.8184  0.9024  0.0239  2 N 2.21-2.46
Er  0.5840  0.7055  0.6816  2 N 2.21-2.46
Er  0.2945  0.8785  0.9761  2 N 2.21-2.46
Er  0.7945  0.4761  0.3785  2 N 2.21-2.46
Er  0.6816  0.2055  0.5840  2 N 2.21-2.46
N  0.5000  0.0000  0.5000  6 Er 2.46
N  0.5000  0.0000  0.0000  6 Er 2.46
N  0.0000  0.5000  0.5000  6 Er 2.46
N  0.8750  0.6250  0.7500  4 Er 2.21
N  0.6250  0.7500  0.8750  4 Er 2.21
N  0.8750  0.2500  0.6250  4 Er 2.21
N  0.2500  0.3750  0.6250  4 Er 2.21
N  0.5000  0.5000  0.0000  6 Er 2.46
N  0.7500  0.1250  0.8750  4 Er 2.21
N  0.0000  0.5000  0.0000  6 Er 2.46
N  0.3750  0.1250  0.7500  4 Er 2.21
N  0.0000  0.0000  0.0000  6 Er 2.46
N  0.7500  0.6250  0.3750  4 Er 2.21
N  0.1250  0.7500  0.3750  4 Er 2.21
N  0.0000  0.0000  0.5000  6 Er 2.46
N  0.1250  0.3750  0.2500  4 Er 2.21
N  0.6250  0.8750  0.2500  4 Er 2.21
N  0.2500  0.8750  0.1250  4 Er 2.21
N  0.5000  0.5000  0.5000  6 Er 2.46
N  0.3750  0.2500  0.1250  4 Er 2.21

---

ErIrN: relaxed, PBE.

The calculation puts the raw formation energy at -0.50 eV/atom. For the total DFT energy (no corrections), the calculation gives -46.5 eV per cell. Its symmetry is Cmmm. The density is 13.58 Mg/m³.

Lattice parameters (Å, degrees): 3.3778 5.2194 5.2194 96.93 90.00 90.00
Last column: nearest neighbours and their distance in Å.
Fractional positions:
Er  0.5000  0.2094  0.7906  3 N 2.27-2.35
Er  0.5000  0.7906  0.2094  3 N 2.27-2.35
Ir  0.0000  0.3075  0.3075  3 N 2.13-2.15
Ir  0.0000  0.6925  0.6925  3 N 2.13-2.15
N  0.0000  0.0000  0.0000  2 Ir 2.13, 4 Er 2.35
N  0.5000  0.5000  0.5000  4 Ir 2.15, 2 Er 2.27